Below is an optimized crystal structure of SiRhI2O, with properties calculated at the PBE-GGA level.

Results
The energy above the most stable polymorph in this dataset comes out at 204 meV/atom. The theoretical density comes out at 5.64 Mg/m³.

Cell lengths 5.6081, 5.6081, 3.7518 Å; angles 90.00, 90.00, 90.00 degrees
Last column: nearest neighbours and their distance in Å.
Fractional coordinates of all 5 atoms:
Si 0.0000 0.0000 0.0000  8 I 3.37, 2 Si 3.75
Rh 0.5000 0.5000 0.5000  2 O 1.88
I 0.0000 0.5000 0.5000  2 Rh 2.80
I 0.5000 0.0000 0.5000  2 Rh 2.80
O 0.5000 0.5000 0.0000  2 Rh 1.88